No. 1
Compound: CeGdYTm
Source: Alexandria via LeMat-Bulk
Functional: GGA-PBE
Structure: relaxed

Computed properties:
**Space-group type**: F-43m, No. 216

```
CeGdYTm
1.0
0.0000 3.9941 3.9941
3.9941 0.0000 3.9941
3.9941 3.9941 0.0000
Ce Gd Y Tm
1 1 1 1
Cartesian
0.0000 0.0000 0.0000
1.9971 1.9971 1.9971
3.9941 3.9941 3.9941
5.9912 5.9912 5.9912
```

=====

No. 2
Compound: CeGdTmZr
Source: Alexandria via LeMat-Bulk
Functional: GGA-PBE
Structure: relaxed

Computed properties:
**Space-group type**: F-43m, No. 216

```
CeGdTmZr
1.0
0.0000 3.8539 3.8539
3.8539 0.0000 3.8539
3.8539 3.8539 0.0000
Ce Gd Tm Zr
1 1 1 1
Cartesian
0.0000 0.0000 0.0000
3.8539 3.8539 3.8539
5.7808 5.7808 5.7808
1.9269 1.9269 1.9269
```

=====

No. 3
Compound: CeGdY
Source: Alexandria via LeMat-Bulk
Functional: GGA-PBE
Structure: relaxed

Computed properties:
**Space-group type**: P3m1, No. 156

```
CeGdY
1.0
3.5400 0.0000 0.0000
-1.7700 3.0657 0.0000
0.0000 0.0000 8.6451
Ce Gd Y
1 1 1
Cartesian
0.0000 0.0000 0.0000
1.7700 1.0219 2.8078
0.0000 2.0438 5.7974
```

=====

No. 4
Compound: Ce4GdY
Source: Alexandria via LeMat-Bulk
Functional: GGA-PBE
Structure: relaxed

Computed properties:
**Space-group type**: F-43m, No. 216

```
Ce4GdY
1.0
0.0000 4.4814 4.4814
4.4814 0.0000 4.4814
4.4814 4.4814 0.0000
Ce Gd Y
4 1 1
Cartesian
1.0939 1.0939 1.0939
3.3876 3.3876 1.0939
3.3876 1.0939 3.3876
1.0939 3.3876 3.3876
6.7222 6.7222 6.7222
4.4814 4.4814 4.4814
```

=====

No. 5
Compound: CeGdY
Source: Alexandria via LeMat-Bulk
Functional: GGA-PBE
Structure: relaxed

Computed properties:
**Space-group type**: I4mm, No. 107

```
CeGdY
1.0
-1.7725 1.7725 7.4678
1.7725 -1.7725 7.4678
1.7725 1.7725 -7.4678
Ce Gd Y
1 1 1
Cartesian
0.0000 0.0000 0.0000
0.0000 0.0000 9.8446
0.0000 0.0000 5.0312
```

=====

No. 6
Compound: CeGdYZr
Source: Alexandria via LeMat-Bulk
Functional: GGA-PBE
Structure: relaxed

Computed properties:
**Space-group type**: F-43m, No. 216

```
CeGdYZr
1.0
0.0000 3.8829 3.8829
3.8829 0.0000 3.8829
3.8829 3.8829 0.0000
Ce Gd Y Zr
1 1 1 1
Cartesian
0.0000 0.0000 0.0000
3.8829 3.8829 3.8829
5.8243 5.8243 5.8243
1.9414 1.9414 1.9414
```

=====

Number 1: raw total energy -7.56 eV/atom. Number 2: raw total energy -8.05 eV/atom. Number 3: raw total energy -8.76 eV/atom. Number 4: raw total energy -7.18 eV/atom. Number 5: raw total energy -8.75 eV/atom. Number 6: raw total energy -8.53 eV/atom.